# TaBeAg | Alexandria via LeMat-Bulk | GGA-PBE | optimized geometry
data_TaBeAg
_chemical_formula_sum 'Ta4 Be4 Ag4'
_cell_length_a 9.6764
_cell_length_b 3.2008
_cell_length_c 6.9278
_cell_angle_alpha 90.00
_cell_angle_beta 125.78
_cell_angle_gamma 90.00
_space_group_name_H-M_alt 'C 1 2/m 1'
_space_group_IT_number 12
_space_group_name_Hall '-C 2y'
loop_
_atom_site_label
_atom_site_type_symbol
_atom_site_fract_x
_atom_site_fract_y
_atom_site_fract_z
Ta1 Ta 0.0963 0.0000 0.3567
Be1 Be 0.1229 0.5000 0.6597
Ag1 Ag 0.1688 0.5000 0.0742
# - formation energy (meV/atom) = 100
# - raw total energy (eV per atom) = -6.0437
# - offset from the most stable computed form (eV per atom) = 0.0957